1.
Tb2CeNdTm4: optimized geometry, PBE.

Cell: 5.024 5.042 9.858 Å, 90.00 90.00 90.00°
Element x y z (fractional)
Tb (0.000, 0.000, 0.000)
Tb (0.500, 0.500, 0.500)
Ce (0.000, 0.000, 0.500)
Nd (0.500, 0.500, 0.000)
Tm (0.000, 0.500, 0.254)
Tm (0.000, 0.500, 0.746)
Tm (0.500, 0.000, 0.254)
Tm (0.500, 0.000, 0.746)

Summary:
energy relative to the elements	47	meV per atom
density	8.50	g cm⁻³

***

2.
CsRb7Cd2: optimized geometry, PBE.

Cell: 17.569 17.569 17.569 Å, 158.18 158.18 31.04°
Element x y z (fractional)
Cs (0.000, 0.000, 0.000)
Rb (0.119, 0.619, 0.500)
Rb (0.250, 0.750, 0.500)
Rb (0.381, 0.881, 0.500)
Rb (0.500, 0.500, 0.000)
Rb (0.619, 0.119, 0.500)
Rb (0.750, 0.250, 0.500)
Rb (0.881, 0.381, 0.500)
Cd (0.318, 0.318, 0.000)
Cd (0.682, 0.682, 0.000)

Summary:
energy relative to the elements	28	meV per atom
density	2.12	g cm⁻³